No. 1
Sc2VC2, relaxed, DFT PBE; total DFT energy (no corrections) = -8.4587 eV per atom; formation enthalpy at 0 K = -0.41 eV/atom; volume = 13.9 A^3/atom; offset from the most stable computed form = 0.000 eV per atom; N(E_F) = 15.93 states/eV per cell; density = 3.95 g cm⁻³
1.0
6.260 0.000 0.000
0.000 4.709 0.000
0.000 0.000 9.415
Sc V C
8 4 8
Direct
0.063 0.250 0.227
0.160 0.250 0.568
0.340 0.750 0.068
0.437 0.750 0.727
0.563 0.250 0.273
0.660 0.250 0.932
0.840 0.750 0.432
0.937 0.750 0.773
0.194 0.250 0.880
0.306 0.750 0.380
0.694 0.250 0.620
0.806 0.750 0.120
0.079 0.750 0.243
0.170 0.750 0.561
0.330 0.250 0.061
0.421 0.250 0.743
0.579 0.750 0.257
0.670 0.750 0.939
0.830 0.250 0.439
0.921 0.250 0.757

No. 2
KSb2S3, relaxed, DFT PBE; total DFT energy (no corrections) = -3.9599 eV per atom; formation energy without anion corrections = -0.339 eV/atom; volume = 27.5 A^3/atom; N(E_F) = 4.32 states/eV per cell; density = 3.81 g cm⁻³
1.0
6.233 -3.604 0.000
6.233 3.604 0.000
0.000 0.000 7.340
K Sb S
2 4 6
Direct
0.001 0.999 0.750
0.999 0.001 0.250
0.333 0.333 0.000
0.333 0.333 0.500
0.667 0.667 0.000
0.667 0.667 0.500
0.000 0.440 0.750
0.000 0.560 0.250
0.440 0.000 0.250
0.440 0.560 0.750
0.560 0.000 0.750
0.560 0.440 0.250

No. 3
PmNdCdTc, relaxed, DFT PBE; total DFT energy (no corrections) = -5.1909 eV per atom; formation enthalpy at 0 K = 0.01 eV/atom; volume = 24.6 A^3/atom; N(E_F) = 1.84 states/eV per cell; density = 8.43 g cm⁻³
1.0
0.000 3.665 3.665
3.665 0.000 3.665
3.665 3.665 0.000
Pm Nd Cd Tc
1 1 1 1
Direct
0.000 0.000 0.000
0.500 0.500 0.500
0.750 0.750 0.750
0.250 0.250 0.250

No. 4
HoErNiIr, relaxed, DFT PBE; total DFT energy (no corrections) = -6.6346 eV per atom; formation enthalpy at 0 K = -0.69 eV/atom; volume = 19.4 A^3/atom; N(E_F) = 1.86 states/eV per cell; density = 12.49 g cm⁻³
1.0
0.000 3.384 3.384
3.384 0.000 3.384
3.384 3.384 0.000
Ho Er Ni Ir
1 1 1 1
Direct
0.000 0.000 0.000
0.500 0.500 0.500
0.250 0.250 0.250
0.750 0.750 0.750

No. 5
GdScIrPt, relaxed, DFT PBE; total DFT energy (no corrections) = -9.7997 eV per atom; formation enthalpy at 0 K = -0.97 eV/atom; volume = 19.4 A^3/atom; N(E_F) = 1.69 states/eV per cell; density = 12.60 g cm⁻³
1.0
0.000 3.387 3.387
3.387 0.000 3.387
3.387 3.387 0.000
Gd Sc Ir Pt
1 1 1 1
Direct
0.000 0.000 0.000
0.500 0.500 0.500
0.750 0.750 0.750
0.250 0.250 0.250

No. 6
BiSb, relaxed, DFT PBE; total DFT energy (no corrections) = -3.7207 eV per atom; formation energy without anion corrections = 0.281 eV/atom; volume = 55.1 A^3/atom; offset from the most stable computed form = 0.287 eV per atom; N(E_F) = 7.56 states/eV per cell; density = 4.99 g cm⁻³
1.0
8.711 0.000 0.000
0.000 8.711 0.000
0.000 0.000 8.711
Bi Sb
6 6
Direct
0.000 0.250 0.500
0.000 0.750 0.500
0.250 0.500 0.000
0.500 0.000 0.250
0.500 0.000 0.750
0.750 0.500 0.000
0.000 0.500 0.250
0.000 0.500 0.750
0.250 0.000 0.500
0.500 0.250 0.000
0.500 0.750 0.000
0.750 0.000 0.500

No. 7
GdZn2Hg, relaxed, DFT PBE; total DFT energy (no corrections) = -4.4621 eV per atom; formation enthalpy at 0 K = -0.23 eV/atom; volume = 21.7 A^3/atom; offset from the most stable computed form = 0.045 eV per atom; N(E_F) = 3.77 states/eV per cell; density = 9.36 g cm⁻³
1.0
4.446 0.000 0.000
0.000 4.446 0.000
0.000 0.000 4.387
Gd Zn Hg
1 2 1
Direct
0.000 0.000 0.000
0.000 0.500 0.500
0.500 0.000 0.500
0.500 0.500 0.000

No. 8
MnAgIr2Br, relaxed, DFT PBE; total DFT energy (no corrections) = -4.8898 eV per atom; formation energy without anion corrections = 1.393 eV/atom; volume = 19.4 A^3/atom; N(E_F) = 4.17 states/eV per cell; density = 10.71 g cm⁻³
1.0
4.645 0.000 0.000
0.000 4.645 0.000
0.000 0.000 4.505
Mn Ag Ir Br
1 1 2 1
Direct
0.000 0.000 0.000
0.500 0.500 0.000
0.000 0.500 0.500
0.500 0.000 0.500
0.000 0.000 0.500

No. 9
Na2GaSb, relaxed, DFT PBE; total DFT energy (no corrections) = -2.6615 eV per atom; formation energy without anion corrections = -0.215 eV/atom; volume = 25.8 A^3/atom; N(E_F) = 2.60 states/eV per cell; density = 3.82 g cm⁻³
1.0
0.000 4.714 4.761
4.601 0.000 4.761
4.601 4.714 0.000
Na Ga Sb
4 2 2
Direct
0.198 0.802 0.802
0.250 0.250 0.250
0.750 0.750 0.750
0.802 0.198 0.198
0.297 0.297 0.703
0.703 0.703 0.297
0.286 0.714 0.286
0.714 0.286 0.714

No. 10
Pr3Ge, relaxed, DFT PBE; total DFT energy (no corrections) = -4.8360 eV per atom; formation enthalpy at 0 K = -0.10 eV/atom; volume = 33.7 A^3/atom; offset from the most stable computed form = 0.350 eV per atom; N(E_F) = 5.12 states/eV per cell; density = 6.11 g cm⁻³
1.0
3.499 0.000 0.000
0.000 3.996 0.000
0.000 0.000 9.635
Pr Ge
3 1
Direct
0.000 0.000 0.000
0.000 0.500 0.326
0.500 0.500 0.718
0.500 0.000 0.483

No. 11
Al2RhSe, relaxed, DFT PBE; total DFT energy (no corrections) = -4.9715 eV per atom; formation energy without anion corrections = -0.391 eV/atom; volume = 15.8 A^3/atom; N(E_F) = 1.82 states/eV per cell; density = 6.20 g cm⁻³
1.0
3.280 0.000 0.000
0.000 3.280 0.000
0.000 0.000 5.865
Al Rh Se
2 1 1
Direct
0.000 0.000 0.229
0.000 0.000 0.771
0.500 0.500 0.000
0.500 0.500 0.500

No. 12
Ti5CuN, relaxed, DFT PBE; total DFT energy (no corrections) = -7.8791 eV per atom; formation energy without anion corrections = -0.465 eV/atom; volume = 14.7 A^3/atom; offset from the most stable computed form = 0.000 eV per atom; N(E_F) = 15.42 states/eV per cell; density = 5.10 g cm⁻³
1.0
4.690 -2.763 0.000
4.690 2.763 0.000
-3.010 0.000 7.958
Ti Cu N
10 2 2
Direct
0.023 0.381 0.633
0.044 0.956 0.750
0.195 0.570 0.971
0.381 0.023 0.133
0.430 0.805 0.529
0.570 0.195 0.471
0.619 0.977 0.867
0.805 0.430 0.029
0.956 0.044 0.250
0.977 0.619 0.367
0.494 0.506 0.250
0.506 0.494 0.750
0.000 0.000 0.000
0.000 0.000 0.500